Entry 1:
PmSmP | PBE-GGA | relaxed

It has space group Amm2 (No. 38), with a = 13.052 Å, b = 3.999 Å, c = 6.929 Å, α = 90.00°, β = 90.00° and γ = 90.00°. The inequivalent atoms are Pm at (0.133, 0.000, 0.000), Sm at (0.368, 0.000, 0.668), P at (0.000, 0.000, 0.667) and P at (0.500, 0.000, 0.001).

The relative energy among the computed polymorphs is 203 meV per atom.

Entry 2:
PmSm2P | PBE-GGA | relaxed

It has space group R-3m (No. 166, hexagonal axes), with a = 3.8796 Å, b = 3.8796 Å, c = 28.6319 Å, α = 90.00°, β = 90.00° and γ = 120.00°. The inequivalent atoms are Pm at (0.0000, 0.0000, 0.0000), Sm at (0.0000, 0.0000, 0.2256) and P at (0.0000, 0.0000, 0.5000).

The uncorrected energy is -5.57 eV per atom.

Entry 3:
PmSmP2 | PBE-GGA | relaxed

It has space group P-3m1 (No. 164), with a = 4.0738 Å, b = 4.0738 Å, c = 7.1613 Å, α = 90.00°, β = 90.00° and γ = 120.00°. The inequivalent atoms are Pm at (0.0000, 0.0000, 0.0000), Sm at (0.0000, 0.0000, 0.5000) and P at (0.3333, 0.6667, 0.7485).

The relative energy among the computed polymorphs is 223 meV per atom.

Entry 4:
PmSm4P5 | PBE-GGA | relaxed

It has space group Immm (No. 71), with a = 4.116 Å, b = 5.812 Å, c = 20.557 Å, α = 90.00°, β = 90.00° and γ = 90.00°. The inequivalent atoms are Pm at (0.000, 0.000, 0.000), Sm at (0.000, 0.000, 0.200), Sm at (0.000, 0.000, 0.400), P at (0.000, 0.500, 0.000), P at (0.000, 0.500, 0.200) and P at (0.000, 0.500, 0.399).

The uncorrected energy is -6.64 eV per atom.

Entry 5:
PmSm2Th3P6 | PBE-GGA | relaxed

It has space group C2/m (No. 12), with a = 7.171 Å, b = 12.401 Å, c = 7.132 Å, α = 90.00°, β = 109.57° and γ = 90.00°. The inequivalent atoms are Pm at (0.000, 0.000, 0.000), Sm at (0.000, 0.333, 0.000), Th at (0.000, 0.167, 0.500), Th at (0.000, 0.500, 0.500), P at (0.249, 0.333, 0.749) and P at (0.249, 0.500, 0.251).

The uncorrected energy is -7.32 eV per atom.

Entry 6:
PmSm2ThP4 | PBE-GGA | relaxed

It has space group P2/m (No. 10), with a = 7.134 Å, b = 4.127 Å, c = 7.138 Å, α = 90.00°, β = 109.45° and γ = 90.00°. The inequivalent atoms are Pm at (0.000, 0.000, 0.000), Sm at (0.500, 0.000, 0.500), Sm at (0.500, 0.500, 0.000), Th at (0.000, 0.500, 0.500), P at (0.250, 0.000, 0.749) and P at (0.250, 0.500, 0.252).

The uncorrected energy is -7.00 eV per atom.

Entry 7:
Pm2SmTmP4 | PBE-GGA | relaxed

It has space group P2/m (No. 10), with a = 7.066 Å, b = 4.084 Å, c = 7.067 Å, α = 90.00°, β = 109.47° and γ = 90.00°. The inequivalent atoms are Pm at (0.000, 0.000, 0.000), Pm at (0.000, 0.500, 0.500), Sm at (0.500, 0.000, 0.500), Tm at (0.500, 0.500, 0.000), P at (0.255, 0.500, 0.247) and P at (0.258, 0.000, 0.757).

The uncorrected energy is -6.61 eV per atom.

Entry 8:
PmSm2TmP4 | PBE-GGA | relaxed

It has space group P2/m (No. 10), with a = 7.056 Å, b = 4.078 Å, c = 7.057 Å, α = 90.00°, β = 109.46° and γ = 90.00°. The inequivalent atoms are Pm at (0.000, 0.000, 0.000), Sm at (0.000, 0.500, 0.500), Sm at (0.500, 0.000, 0.500), Tm at (0.500, 0.500, 0.000), P at (0.254, 0.500, 0.248) and P at (0.257, 0.000, 0.756).

The uncorrected energy is -6.61 eV per atom.